(1)
# BeCo2Si (GGA-PBE, optimized geometry)
# **Distance to the lowest polymorph of the same formula**: 715 meV per atom
data_BeCo2Si
_chemical_formula_sum 'Be4 Co8 Si4'
_symmetry_space_group_name_H-M 'I -4 2 d'
_symmetry_Int_Tables_number 122
_symmetry_space_group_name_Hall 'I -4 2bw'
_cell_length_a 5.867
_cell_length_b 5.867
_cell_length_c 5.009
_cell_angle_alpha 90.00
_cell_angle_beta 90.00
_cell_angle_gamma 90.00
loop_
_atom_site_label
_atom_site_type_symbol
_atom_site_fract_x
_atom_site_fract_y
_atom_site_fract_z
Be1 Be 0.000 0.000 0.000
Co1 Co 0.231 0.750 0.125
Si1 Si 0.000 0.000 0.500

(2)
# TiCu2Ni2 (GGA-PBE, optimized geometry)
# **Formation energy**: -26.0 meV/atom
# **Distance to the lowest polymorph of the same formula**: 191 meV per atom
data_TiCu2Ni2
_chemical_formula_sum 'Ti2 Cu4 Ni4'
_symmetry_space_group_name_H-M 'P 4/m b m'
_symmetry_Int_Tables_number 127
_symmetry_space_group_name_Hall '-P 4 2ab'
_cell_length_a 6.869
_cell_length_b 6.869
_cell_length_c 2.653
_cell_angle_alpha 90.00
_cell_angle_beta 90.00
_cell_angle_gamma 90.00
loop_
_atom_site_label
_atom_site_type_symbol
_atom_site_fract_x
_atom_site_fract_y
_atom_site_fract_z
Ti1 Ti 0.000 0.000 0.000
Cu1 Cu 0.126 0.374 0.000
Ni1 Ni 0.171 0.671 0.500

(3)
# CePm5Si3 (GGA-PBE, optimized geometry)
# **VASP energy**: -192.430 eV/cell
data_CePm5Si3
_chemical_formula_sum 'Ce4 Pm20 Si12'
_symmetry_space_group_name_H-M 'C 1 2/m 1'
_symmetry_Int_Tables_number 12
_symmetry_space_group_name_Hall '-C 2y'
_cell_length_a 9.935
_cell_length_b 10.452
_cell_length_c 11.441
_cell_angle_alpha 90.00
_cell_angle_beta 112.43
_cell_angle_gamma 90.00
loop_
_atom_site_label
_atom_site_type_symbol
_atom_site_fract_x
_atom_site_fract_y
_atom_site_fract_z
Ce1 Ce 0.239 0.000 0.244
Pm1 Pm 0.000 0.273 0.000
Pm2 Pm 0.013 0.274 0.672
Pm3 Pm 0.232 0.000 0.910
Pm4 Pm 0.236 0.000 0.580
Si1 Si 0.000 0.000 0.000
Si2 Si 0.000 0.500 0.500
Si3 Si 0.001 0.500 0.834
Si4 Si 0.005 0.000 0.334